Record 1
VASP calculation (PBE-GGA) on KBa2SrF after structural relaxation.

electronic total energy	-2.664	eV per atom

Lattice parameters (Å, degrees): 5.801 5.801 6.915 90.00 90.00 90.00
Element x y z (fractional)
Ba1 0.500 0.000 0.000
Ba2 0.000 0.500 0.000
Sr1 0.500 0.500 0.500
F1 0.000 0.000 0.000
K1 0.000 0.000 0.500

Record 2
VASP calculation (PBE-GGA) on Sr2B5H2O11 after structural relaxation.

electronic total energy	-7.227	eV per atom

Lattice parameters (Å, degrees): 6.550 6.550 6.430 61.51 61.51 76.93
Element x y z (fractional)
O1 0.613 0.240 0.920
O2 0.890 0.823 0.448
O3 0.177 0.110 0.552
O4 0.760 0.387 0.080
O5 0.595 0.692 0.415
O6 0.093 0.497 0.333
O7 0.303 0.801 0.265
O8 0.308 0.405 0.585
O9 0.503 0.907 0.667
O10 0.102 0.898 0.000
O11 0.199 0.697 0.735
B1 0.343 0.657 0.500
B2 0.192 0.339 0.496
B3 0.102 0.749 0.256
B4 0.661 0.808 0.504
B5 0.251 0.898 0.744
Sr1 0.164 0.244 0.085
Sr2 0.756 0.836 0.915
H1 0.697 0.369 0.752
H2 0.631 0.303 0.248

Record 3
VASP calculation (PBE-GGA) on Ag2HgP after structural relaxation.

electronic total energy	-2.546	eV per atom
formation enthalpy at 0 K	307	meV per atom
polymorph energy (0 for the lowest one)	0.056	eV per atom

Lattice parameters (Å, degrees): 4.766 4.766 8.777 74.25 74.25 90.00
Element x y z (fractional)
Hg1 0.750 0.250 0.500
Hg2 0.000 0.000 0.000
Ag1 0.375 0.463 0.750
Ag2 0.537 0.125 0.250
Ag3 0.213 0.625 0.250
Ag4 0.875 0.787 0.750
P1 0.500 0.500 0.000
P2 0.250 0.750 0.500

Record 4
VASP calculation (PBE-GGA) on YErB4 after structural relaxation.

electronic total energy	-6.733	eV per atom
formation enthalpy at 0 K	-443	meV per atom

Lattice parameters (Å, degrees): 3.553 3.553 6.275 106.44 106.44 90.00
Element x y z (fractional)
B1 0.671 0.171 0.342
B2 0.422 0.422 0.844
B3 0.829 0.329 0.658
B4 0.578 0.578 0.156
Y1 0.250 0.750 0.500
Er1 0.000 0.000 0.000

Record 5
VASP calculation (PBE-GGA) on Tb3Ga2Si3 after structural relaxation.

electronic total energy	-5.147	eV per atom
polymorph energy (0 for the lowest one)	0.015	eV per atom

Lattice parameters (Å, degrees): 4.144 5.803 14.447 90.00 90.00 110.92
Element x y z (fractional)
Ga1 0.223 0.446 0.104
Ga2 0.223 0.446 0.396
Ga3 0.777 0.554 0.896
Ga4 0.777 0.554 0.604
Tb1 0.938 0.875 0.115
Tb2 0.062 0.125 0.885
Tb3 0.062 0.125 0.615
Tb4 0.649 0.299 0.250
Tb5 0.938 0.875 0.385
Tb6 0.351 0.701 0.750
Si1 0.610 0.220 0.037
Si2 0.630 0.261 0.750
Si3 0.390 0.780 0.963
Si4 0.390 0.780 0.537
Si5 0.610 0.220 0.463
Si6 0.370 0.739 0.250

Record 6
VASP calculation (PBE-GGA) on Ac8HIr3S4 after structural relaxation.

electronic total energy	-6.219	eV per atom

Lattice parameters (Å, degrees): 8.465 8.960 8.465 118.19 120.00 90.00
Element x y z (fractional)
Ac1 0.740 0.733 0.987
Ac2 0.744 0.733 0.489
Ac3 0.247 0.733 0.494
Ac4 0.256 0.267 0.511
Ac5 0.260 0.267 0.013
Ac6 0.247 0.733 0.987
Ac7 0.753 0.267 0.013
Ac8 0.753 0.267 0.506
Ir1 0.500 0.500 0.500
Ir2 0.500 0.500 0.000
Ir3 0.000 0.500 0.500
S1 0.500 0.000 0.500
S2 0.500 0.000 0.000
S3 0.000 0.000 0.500
S4 0.000 0.000 0.000
H1 0.000 0.500 0.000

Record 7
VASP calculation (PBE-GGA) on PmAl2Pd6 after structural relaxation.

electronic total energy	-5.454	eV per atom
formation enthalpy at 0 K	-633	meV per atom

Lattice parameters (Å, degrees): 5.570 5.570 6.563 90.00 90.00 120.00
Element x y z (fractional)
Pd1 0.000 0.500 0.790
Pd2 0.500 0.000 0.210
Pd3 0.000 0.500 0.210
Pd4 0.500 0.500 0.790
Pd5 0.500 0.000 0.790
Pd6 0.500 0.500 0.210
Pm1 0.000 0.000 0.000
Al1 0.333 0.667 0.500
Al2 0.667 0.333 0.500

Record 8
VASP calculation (PBE-GGA) on La2ZnGa3Pd4 after structural relaxation.

electronic total energy	-4.888	eV per atom
formation enthalpy at 0 K	-790	meV per atom

Lattice parameters (Å, degrees): 4.376 4.376 10.400 90.00 90.00 90.00
Element x y z (fractional)
La1 0.500 0.000 0.250
La2 0.000 0.500 0.750
Ga1 0.500 0.000 0.874
Ga2 0.000 0.000 0.500
Ga3 0.000 0.500 0.126
Zn1 0.500 0.500 0.500
Pd1 0.500 0.500 0.000
Pd2 0.000 0.000 0.000
Pd3 0.000 0.500 0.368
Pd4 0.500 0.000 0.632